Material: Ac2Hg2Pb3
Method: DFT, PBE-GGA
State: optimized geometry Values from VASP.

Quantum ESPRESSO input file:
```
&SYSTEM
  ibrav = 0, nat = 7, ntyp = 3
/
ATOMIC_SPECIES
Ac 227.00 Ac.upf
Hg 200.59 Hg.upf
Pb 207.20 Pb.upf
CELL_PARAMETERS angstrom
6.012 -2.496 0.000
6.012 2.496 0.000
-0.640 0.000 7.418
ATOMIC_POSITIONS angstrom
Ac 1.187 0.000 2.243
Ac 10.197 0.000 5.176
Hg 4.510 0.000 2.863
Hg 6.874 0.000 4.556
Pb 1.771 0.000 6.203
Pb 6.012 0.000 0.000
Pb 9.613 0.000 1.215
```

Computed properties:
energy = -3.245 eV/atom
total moment = 0.0 μB per formula unit
space-group type = No. 12